(1)
AcSm2Ho5 | Alexandria via LeMat-Bulk | GGA-PBE | relaxed; formation enthalpy at 0 K = 33 meV per atom
1.0
7.240 0.000 0.000
0.000 7.208 0.000
0.000 0.000 20.265
Ac Sm Ho
4 8 20
Cartesian
0.000 1.787 17.711
0.000 5.421 2.554
0.000 1.817 7.578
0.000 5.391 12.687
5.395 0.000 10.132
1.844 3.604 0.000
1.844 0.000 10.132
5.395 3.604 0.000
3.620 5.389 12.685
3.620 1.819 7.580
3.620 5.423 2.553
3.620 1.785 17.712
5.393 0.000 0.000
1.847 3.604 10.132
1.847 0.000 0.000
5.393 3.604 10.132
0.000 1.791 12.680
0.000 5.417 7.585
0.000 1.813 2.548
0.000 5.395 17.717
3.620 1.798 12.679
3.620 5.410 7.586
3.620 1.806 2.547
3.620 5.402 17.718
5.391 3.590 15.199
5.391 3.618 5.065
1.849 0.014 5.067
1.849 7.194 15.198
1.849 3.618 5.065
1.849 3.590 15.199
5.391 7.194 15.198
5.391 0.014 5.067


(2)
Density functional theory data (GGA-PBE) for a relaxed structure of K2GaHg2H4.

The structure in POSCAR format:
```
K2GaHg2H4
1.0
6.258 0.057 0.082
-2.954 5.517 -0.082
-2.954 -2.015 5.137
K Ga Hg H
2 1 2 4
Cartesian
0.175 3.663 1.264
0.175 -0.104 3.873
0.000 0.000 0.000
-3.928 2.328 3.361
-1.980 1.174 1.694
-2.954 4.073 0.918
-0.917 2.866 4.136
-2.954 -0.571 4.136
1.267 0.693 1.000
```


(3)
PrSmZr | Alexandria via LeMat-Bulk | GGA-PBE | relaxed; formation enthalpy at 0 K = 123 meV per atom
1.0
3.440 0.000 0.000
0.000 3.440 0.000
-1.720 -1.720 7.671
Pr Zr Sm
1 1 1
Cartesian
1.720 1.720 7.504
0.000 0.000 5.078
1.720 1.720 2.760


(4)
LiLaBe2 | Alexandria via LeMat-Bulk | GGA-PBE | relaxed; formation enthalpy at 0 K = 293 meV per atom
1.0
4.623 0.000 0.000
0.003 4.623 0.000
-2.313 -2.311 3.268
Be La Li
2 1 1
Cartesian
0.000 0.000 0.000
0.002 2.311 1.634
2.313 2.311 0.000
2.311 0.000 1.634


(5)
TcGe2Au | Alexandria via LeMat-Bulk | GGA-PBE | relaxed; formation enthalpy at 0 K = 499 meV per atom
1.0
-2.396 5.202 -0.489
-2.510 -0.674 5.127
2.055 4.577 4.830
Ge Au Tc
4 2 2
Cartesian
-1.236 4.177 1.555
-1.416 1.508 4.338
-0.363 5.113 5.494
-2.687 7.412 7.548
0.000 0.000 0.000
-1.397 6.021 3.330
-2.453 2.264 2.319
-1.454 3.083 6.138


(6)
PaPPdS | Alexandria via LeMat-Bulk | GGA-PBE | relaxed; ΔE_f (raw) = -76 kJ per mole of atoms
1.0
-0.817 -3.083 1.117
3.081 -0.328 1.348
-3.400 4.426 4.615
Pa P Pd S
1 1 1 1
Cartesian
-0.871 0.697 6.396
0.747 -1.243 2.226
-0.677 0.811 1.744
-1.527 1.832 3.937


(7)
SrPm4In5 | Alexandria via LeMat-Bulk | GGA-PBE | relaxed; formation enthalpy at 0 K = -475 meV per atom
1.0
-1.146 -3.608 0.916
-0.578 -0.774 -3.773
18.371 -6.225 -1.538
Sr Pm In
1 4 5
Cartesian
0.000 0.000 0.000
3.797 -1.287 -0.318
7.400 -2.508 -0.620
10.970 -3.717 -0.918
14.574 -4.938 -1.220
1.191 -2.886 -1.600
4.760 -4.096 -1.899
8.323 -5.303 -2.197
11.886 -6.510 -2.496
15.456 -7.720 -2.795


(8)
Pb2WSe | Alexandria via LeMat-Bulk | GGA-PBE | relaxed; ΔE_f (raw) = 53 kJ per mole of atoms
1.0
8.313 0.002 0.034
7.717 3.092 0.034
1.038 0.200 4.035
Pb Se W
2 1 1
Cartesian
14.831 2.862 0.389
9.733 1.878 1.731
12.801 2.470 3.078
4.267 0.823 1.026


Calculated total energy: -4.5218, -2.0989, -5.8927, -3.2804, -5.2208, -6.8402, -3.9129, -5.4160 (eV/atom)
Total magnetization: 0.00, 0.00, 0.00, 0.00, 0.00, 0.00, 0.00, 0.00 (μB per formula unit)